Record 1
LaTaCu2: optimized geometry, PBE.

a b c (Å): 7.523 7.523 5.867
angles (deg): 90.00 90.00 90.00
Space group I-42d (No. 122)
Symmetry-distinct sites (fractional):
La: 0.000 0.000 0.000 [4 per cell]
Ta: 0.000 0.000 0.500 [4 per cell]
Cu: 0.204 0.250 0.625 [8 per cell]

**Polymorph energy (0 for the lowest one)**: 396 meV per atom

***

Record 2
LaTaCu2: optimized geometry, PBE.

a b c (Å): 4.052 4.052 9.197
angles (deg): 90.00 90.00 90.00
Space group I-4m2 (No. 119)
Symmetry-distinct sites (fractional):
La: 0.000 0.000 0.000 [2 per cell]
Ta: 0.000 0.500 0.750 [2 per cell]
Cu: 0.000 0.000 0.500 [2 per cell]
Cu: 0.000 0.500 0.250 [2 per cell]

**Polymorph energy (0 for the lowest one)**: 318 meV per atom

***

Record 3
La2TaCu: optimized geometry, PBE.

a b c (Å): 3.318 3.316 8.949
angles (deg): 90.00 90.16 90.00
Space group P2/m (No. 10)
Symmetry-distinct sites (fractional):
La: 0.000 0.000 0.236 [2 per cell]
Ta: 0.500 0.500 0.500 [1 per cell]
Cu: 0.500 0.500 0.000 [1 per cell]

**Polymorph energy (0 for the lowest one)**: 69 meV per atom

***

Record 4
La2TaCu: optimized geometry, PBE.

a b c (Å): 7.388 7.388 7.388
angles (deg): 90.00 90.00 90.00
Space group Fm-3m (No. 225)
Symmetry-distinct sites (fractional):
La: 0.250 0.250 0.250 [8 per cell]
Ta: 0.000 0.000 0.000 [4 per cell]
Cu: 0.000 0.000 0.500 [4 per cell]

**Polymorph energy (0 for the lowest one)**: 206 meV per atom

***

Record 5
LaTaCu2: optimized geometry, PBE.

a b c (Å): 3.0076 3.0076 28.8366
angles (deg): 90.00 90.00 120.00
Space group R3m (No. 160, hexagonal axes)
Symmetry-distinct sites (fractional):
La: 0.0000 0.0000 0.0000 [3 per cell]
Ta: 0.0000 0.0000 0.7717 [3 per cell]
Cu: 0.0000 0.0000 0.2415 [3 per cell]
Cu: 0.0000 0.0000 0.5118 [3 per cell]

**Polymorph energy (0 for the lowest one)**: 332 meV per atom

***

Record 6
LaTaCu2: optimized geometry, PBE.

a b c (Å): 6.703 6.703 6.703
angles (deg): 90.00 90.00 90.00
Space group F-43m (No. 216)
Symmetry-distinct sites (fractional):
La: 0.000 0.000 0.000 [4 per cell]
Ta: 0.250 0.250 0.750 [4 per cell]
Cu: 0.000 0.000 0.500 [4 per cell]
Cu: 0.250 0.250 0.250 [4 per cell]

**Polymorph energy (0 for the lowest one)**: 493 meV per atom

***

Number 1: volume 20.756 Å³ per atom, formation enthalpy at 0 K 0.5345 eV per atom. Number 2: volume 18.872 Å³ per atom, formation enthalpy at 0 K 0.4566 eV per atom. Number 3: volume 24.615 Å³ per atom, formation enthalpy at 0 K 0.2824 eV per atom. Number 4: volume 25.200 Å³ per atom, formation enthalpy at 0 K 0.4198 eV per atom. Number 5: volume 18.824 Å³ per atom, formation enthalpy at 0 K 0.4704 eV per atom. Number 6: volume 18.824 Å³ per atom, formation enthalpy at 0 K 0.6317 eV per atom.